10
Lattice="0.000 4.049 4.049 4.049 0.000 4.049 4.049 4.049 0.000" Properties=species:S:1:pos:R:3 comment="KLaTbNiO6 GGA+U optimized geometry" dft_energy_ev_per_cell=-62.5 magmom_total_mub_per_fu=1.03 crystal_system=cubic pbc="T T T"
K 0.000 0.000 0.000
La 4.049 4.049 4.049
Tb 2.024 2.024 2.024
Ni 6.073 6.073 6.073
O 6.073 6.073 4.217
O 6.073 4.217 6.073
O 7.930 6.073 6.073
O 4.217 6.073 6.073
O 6.073 7.930 6.073
O 6.073 6.073 7.930